Below is an optimized crystal structure of Pm7Pr12Tm, with properties calculated at the PBE level.

## Properties
excess energy over the best structure of this formula in the dataset = 0.046 eV per atom

```
data_Pm7Pr12Tm
_chemical_formula_sum 'Pm21 Pr36 Tm3'
_cell_length_a 19.0577
_cell_length_b 19.0577
_cell_length_c 6.9638
_cell_angle_alpha 90.00
_cell_angle_beta 90.00
_cell_angle_gamma 120.00
_symmetry_space_group_name_H-M 'R -3'
_symmetry_Int_Tables_number 148
_symmetry_space_group_name_Hall '-R 3'
loop_
_atom_site_label
_atom_site_type_symbol
_atom_site_fract_x
_atom_site_fract_y
_atom_site_fract_z
Pm1 Pm 0.0000 0.0000 0.0000
Pm2 Pm 0.0062 0.8518 0.2804
Pr1 Pr 0.0002 0.2126 0.2090
Pr2 Pr 0.0074 0.4694 0.2415
Tm1 Tm 0.0000 0.0000 0.5000
```


Below is an optimized crystal structure of Pm5PrTm12, with properties calculated at the PBE level.

```
data_Pm5PrTm12
_chemical_formula_sum 'Pm10 Pr2 Tm24'
_cell_length_a 18.401
_cell_length_b 10.609
_cell_length_c 6.136
_cell_angle_alpha 90.00
_cell_angle_beta 109.21
_cell_angle_gamma 90.00
_symmetry_space_group_name_H-M 'C 1 2/m 1'
_symmetry_Int_Tables_number 12
_symmetry_space_group_name_Hall '-C 2y'
loop_
_atom_site_label
_atom_site_type_symbol
_atom_site_fract_x
_atom_site_fract_y
_atom_site_fract_z
Pm1 Pm 0.000 0.000 0.000
Pm2 Pm 0.167 0.000 0.500
Pm3 Pm 0.167 0.500 0.001
Pr1 Pr 0.000 0.500 0.500
Tm1 Tm 0.000 0.168 0.500
Tm2 Tm 0.000 0.331 0.000
Tm3 Tm 0.167 0.168 0.000
Tm4 Tm 0.167 0.331 0.500
```


Below is an optimized crystal structure of Pm5Pr2Tm2, with properties calculated at the PBE level.

## Properties
excess energy over the best structure of this formula in the dataset = 0.178 eV per atom

```
data_Pm5Pr2Tm2
_chemical_formula_sum 'Pm20 Pr8 Tm8'
_cell_length_a 13.002
_cell_length_b 8.606
_cell_length_c 11.067
_cell_angle_alpha 90.00
_cell_angle_beta 90.00
_cell_angle_gamma 90.00
_symmetry_space_group_name_H-M 'I m a 2'
_symmetry_Int_Tables_number 46
_symmetry_space_group_name_Hall 'I 2 -2a'
loop_
_atom_site_label
_atom_site_type_symbol
_atom_site_fract_x
_atom_site_fract_y
_atom_site_fract_z
Pm1 Pm 0.079 0.189 0.000
Pm2 Pm 0.133 0.560 0.001
Pm3 Pm 0.250 0.247 0.759
Pr1 Pr 0.000 0.000 0.248
Pr2 Pr 0.250 0.605 0.609
Tm1 Tm 0.112 0.619 0.301
```


Below is an optimized crystal structure of PmPr3Tm, with properties calculated at the PBE level.

## Properties
excess energy over the best structure of this formula in the dataset = 0.000 eV per atom

```
data_PmPr3Tm
_chemical_formula_sum 'Pm4 Pr12 Tm4'
_cell_length_a 11.888
_cell_length_b 7.137
_cell_length_c 8.800
_cell_angle_alpha 90.00
_cell_angle_beta 109.76
_cell_angle_gamma 90.00
_symmetry_space_group_name_H-M 'C 1 2/m 1'
_symmetry_Int_Tables_number 12
_symmetry_space_group_name_Hall '-C 2y'
loop_
_atom_site_label
_atom_site_type_symbol
_atom_site_fract_x
_atom_site_fract_y
_atom_site_fract_z
Pm1 Pm 0.057 0.000 0.226
Pr1 Pr 0.154 0.250 0.615
Pr2 Pr 0.250 0.000 0.998
Tm1 Tm 0.056 0.500 0.227
```


no.,magnetic moment (Bohr magnetons per cell),E_form (eV/atom)
1,0.0,0.261
2,0.0,0.023
3,0.0,0.197
4,0.0,0.132